1.
Compound: SrBeB
Source: Alexandria via LeMat-Bulk
Functional: PBE
Structure: relaxed

Unit cell a=5.684 b=5.684 c=4.125 alpha=105.23 beta=105.23 gamma=116.78
Fractional coordinates of all 6 atoms:
Sr 0.186 0.814 0.000
Sr 0.814 0.186 0.000
Be 0.452 0.452 0.555
Be 0.750 0.750 0.325
B 0.130 0.130 0.593
B 0.398 0.398 0.001

Properties
Final energy ... -23.363 eV/cell
E above lowest polymorph ... 170.7 meV per atom
Magnetic moment ... 0.00 μB/f.u.
Energy of formation ... 135 meV/atom
Calculated density ... 3.5 Mg/m³

2.
Compound: SrBeB3
Source: Alexandria via LeMat-Bulk
Functional: PBE
Structure: relaxed

Unit cell a=4.853 b=4.853 c=4.853 alpha=90.00 beta=90.00 gamma=90.00
Fractional coordinates of all 5 atoms:
Sr 0.000 0.000 0.000
Be 0.500 0.500 0.500
B 0.000 0.000 0.500
B 0.000 0.500 0.000
B 0.500 0.000 0.000

Properties
Final energy ... -9.167 eV/cell
E above lowest polymorph ... 2088.9 meV per atom
Magnetic moment ... 0.00 μB/f.u.
Energy of formation ... 3255 meV/atom
Calculated density ... 1.9 Mg/m³

3.
Compound: Sr2BeB
Source: Alexandria via LeMat-Bulk
Functional: PBE
Structure: relaxed

Unit cell a=6.752 b=6.752 c=6.752 alpha=107.73 beta=107.73 gamma=113.02
Fractional coordinates of all 8 atoms:
Sr 0.085 0.125 0.460
Sr 0.375 0.915 0.040
Sr 0.665 0.625 0.540
Sr 0.875 0.335 0.960
Be 0.250 0.750 0.500
Be 0.500 0.500 0.000
B 0.000 0.000 0.000
B 0.750 0.250 0.500

Properties
Final energy ... -18.948 eV/cell
E above lowest polymorph ... 318.1 meV per atom
Magnetic moment ... 0.98 μB/f.u.
Energy of formation ... 1073 meV/atom
Calculated density ... 2.7 Mg/m³

4.
Compound: SrBeB
Source: Alexandria via LeMat-Bulk
Functional: PBE
Structure: relaxed

Unit cell a=3.862 b=5.033 c=8.179 alpha=104.30 beta=98.53 gamma=105.62
Fractional coordinates of all 6 atoms:
Sr 0.000 0.000 0.000
Sr 0.258 0.265 0.524
Be 0.025 0.588 0.262
Be 0.570 0.869 0.262
B 0.512 0.507 0.262
B 0.656 0.239 0.262

Properties
Final energy ... -23.381 eV/cell
E above lowest polymorph ... 167.7 meV per atom
Magnetic moment ... 0.00 μB/f.u.
Energy of formation ... 132 meV/atom
Calculated density ... 2.5 Mg/m³

5.
Compound: SrBeB3
Source: Alexandria via LeMat-Bulk
Functional: PBE
Structure: relaxed

Unit cell a=4.001 b=4.001 c=4.001 alpha=90.00 beta=90.00 gamma=90.00
Fractional coordinates of all 5 atoms:
Sr 0.000 0.000 0.000
Be 0.500 0.500 0.500
B 0.000 0.500 0.500
B 0.500 0.000 0.500
B 0.500 0.500 0.000

Properties
Final energy ... -19.611 eV/cell
E above lowest polymorph ... 0.0 meV per atom
Magnetic moment ... 0.00 μB/f.u.
Energy of formation ... 1166 meV/atom
Calculated density ... 3.3 Mg/m³

6.
Compound: SrBeB
Source: Alexandria via LeMat-Bulk
Functional: PBE
Structure: relaxed

Unit cell a=3.776 b=3.252 c=8.838 alpha=90.00 beta=94.49 gamma=90.00
Fractional coordinates of all 6 atoms:
Sr 0.211 0.250 0.296
Sr 0.789 0.750 0.704
Be 0.365 0.250 0.940
Be 0.635 0.750 0.060
B 0.118 0.750 0.014
B 0.882 0.250 0.986

Properties
Final energy ... -24.387 eV/cell
E above lowest polymorph ... 0.0 meV per atom
Magnetic moment ... 0.00 μB/f.u.
Energy of formation ... -36 meV/atom
Calculated density ... 3.3 Mg/m³